Entry 1:
DFT (PBE) results for a relaxed LiPuH6Pt crystal.

Total DFT energy (no corrections)   -4.977 eV per atom

Geometry as POSCAR:
```
LiPuH6Pt
1.0
4.5187 0.0000 -0.0001
2.2594 3.9133 -0.0001
0.0001 0.0000 4.4057
Pt Li H Pu
1 1 6 1
Direct
0.3333 0.3333 0.5000
0.6666 0.6667 0.5000
0.0142 0.4929 0.7773
0.4929 0.0142 0.2227
0.4929 0.0142 0.7773
0.4929 0.4929 0.7773
0.0142 0.4929 0.2227
0.4929 0.4929 0.2227
0.0000 0.0000 0.0000
```

---

Entry 2:
DFT (PBE) results for a relaxed Rb2LiH6Pt crystal.

Total DFT energy (no corrections)   -3.334 eV per atom

Geometry as POSCAR:
```
Rb2LiH6Pt
1.0
-1.1148 -3.3849 -3.6099
2.7636 -4.3107 3.1885
-5.8811 1.0590 0.8232
H Rb Li Pt
6 2 1 1
Direct
0.8016 0.1319 0.2638
0.8016 0.7362 0.8681
0.8016 0.1319 0.8681
0.1984 0.8681 0.7362
0.1984 0.8681 0.1319
0.1984 0.2638 0.1319
0.7675 0.6667 0.3333
0.2325 0.3333 0.6667
0.5000 0.0000 0.0000
0.0000 0.0000 0.0000
```

---

Entry 3:
DFT (PBE) results for a relaxed LiH3PtRh crystal.

Total DFT energy (no corrections)   -4.441 eV per atom

Geometry as POSCAR:
```
LiH3PtRh
1.0
-2.5418 0.3982 1.3152
-2.7763 -3.4536 -4.3197
0.7120 -5.9194 3.1682
H Pt Rh Li
6 2 2 2
Direct
0.7500 0.3110 0.6073
0.2500 0.1931 0.8685
0.7500 0.4387 0.1292
0.2500 0.6890 0.3927
0.7500 0.8069 0.1315
0.2500 0.5613 0.8708
0.7500 0.8676 0.3959
0.2500 0.1324 0.6041
0.2500 0.6272 0.1284
0.7500 0.3728 0.8716
0.7500 0.8244 0.8103
0.2500 0.1756 0.1897
```

---

Entry 4:
DFT (PBE) results for a relaxed Li2H6PtRh crystal.

Total DFT energy (no corrections)   -4.071 eV per atom

Geometry as POSCAR:
```
Li2H6PtRh
1.0
4.9218 -0.0070 -0.0164
-0.0070 4.9220 -0.0166
-2.4675 -2.4674 3.4555
Rh H Pt Li
1 6 1 2
Direct
0.9999 0.0004 0.9997
0.7509 0.2496 0.9996
0.2480 0.2482 0.9971
0.2490 0.7512 0.9998
0.2492 0.2499 0.4994
0.7504 0.7508 0.5000
0.7513 0.7521 0.0014
0.4999 0.5004 0.9997
0.7500 0.2509 0.5006
0.2504 0.7505 0.5006
```

---

Entry 5:
DFT (PBE) results for a relaxed LiHPt2Rh crystal.

Total DFT energy (no corrections)   -5.148 eV per atom
E above lowest polymorph   0.0 meV/atom

Geometry as POSCAR:
```
LiHPt2Rh
1.0
-1.7928 -2.0499 2.7758
2.8214 -2.6717 -0.1508
2.0214 1.9785 2.7667
Rh Pt Li H
1 2 1 1
Direct
0.5000 0.5000 0.5000
0.5000 0.0000 0.0000
0.0000 0.5000 0.0000
0.0000 0.0000 0.5000
0.0000 0.0000 0.0000
```

---

Entry 6:
DFT (PBE) results for a relaxed LiHPt2Rh crystal.

Total DFT energy (no corrections)   -5.139 eV per atom
E above lowest polymorph   8.6 meV/atom

Geometry as POSCAR:
```
LiHPt2Rh
1.0
3.9585 0.0000 0.0000
0.0000 3.9585 0.0000
0.0000 0.0000 3.8844
Rh Pt Li H
1 2 1 1
Direct
0.0000 0.0000 0.5000
0.0000 0.5000 0.0000
0.5000 0.0000 0.0000
0.5000 0.5000 0.5000
0.0000 0.0000 0.0000
```